Entry 1:
Here is crystalline Na2EuGa at its relaxed geometry from Alexandria via LeMat-Bulk. Energies are from PBE-GGA.

D(E_F): 10.64 states/eV per cell
E_form: 0.192 eV per atom
magnetic moment: 1.984 μB/atom

```
Na2EuGa
1.0
3.514 0.000 0.000
-1.757 3.043 0.000
0.000 0.000 36.562
Na Eu Ga
6 3 3
Direct
0.000 0.000 0.098
0.000 0.000 0.902
0.333 0.667 0.569
0.333 0.667 0.765
0.667 0.333 0.235
0.667 0.333 0.431
0.000 0.000 0.000
0.333 0.667 0.667
0.667 0.333 0.333
0.000 0.000 0.500
0.333 0.667 0.167
0.667 0.333 0.833
```

Entry 2:
Here is crystalline Tm12PdPb6 at its relaxed geometry from Alexandria via LeMat-Bulk. Energies are from PBE-GGA.

D(E_F): 16.70 states/eV per cell
E_form: -0.238 eV per atom
magnetic moment: 0.000 μB/atom

```
Tm12PdPb6
1.0
6.542 3.777 4.029
-6.542 3.777 4.029
0.000 -7.554 4.029
Tm Pd Pb
12 1 6
Direct
0.005 0.940 0.682
0.060 0.318 0.995
0.203 0.544 0.416
0.318 0.995 0.060
0.416 0.203 0.544
0.456 0.584 0.797
0.544 0.416 0.203
0.584 0.797 0.456
0.682 0.005 0.940
0.797 0.456 0.584
0.940 0.682 0.005
0.995 0.060 0.318
0.000 0.000 0.000
0.119 0.319 0.651
0.319 0.651 0.119
0.349 0.881 0.681
0.651 0.119 0.319
0.681 0.349 0.881
0.881 0.681 0.349
```

Entry 3:
Here is crystalline CoSe2Cl at its relaxed geometry from Alexandria via LeMat-Bulk. Energies are from PBE-GGA.

distance to the lowest polymorph of the same formula: 0.020 eV per atom
formation energy without anion corrections: -231 meV/atom
D(E_F): 3.51 states/eV per cell
magnetic moment: 0.168 μB/atom

```
CoSe2Cl
1.0
4.750 0.000 0.000
0.000 3.631 0.000
-1.591 0.000 4.581
Co Se Cl
1 2 1
Direct
0.000 0.000 0.000
0.342 0.500 0.150
0.658 0.500 0.850
0.000 0.000 0.500
```

Entry 4:
Here is crystalline PaVGa3 at its relaxed geometry from Alexandria via LeMat-Bulk. Energies are from PBE-GGA.

D(E_F): 9.65 states/eV per cell
E_form: -0.166 eV per atom
magnetic moment: 0.000 μB/atom

```
PaVGa3
1.0
3.391 -4.677 0.000
3.391 4.677 0.000
0.000 0.000 5.829
Pa V Ga
2 2 6
Direct
0.209 0.791 0.750
0.791 0.209 0.250
0.037 0.963 0.250
0.963 0.037 0.750
0.301 0.699 0.250
0.310 0.310 0.000
0.310 0.310 0.500
0.690 0.690 0.000
0.690 0.690 0.500
0.699 0.301 0.750
```

Entry 5:
Here is crystalline LaSm5Dy8 at its relaxed geometry from Alexandria via LeMat-Bulk. Energies are from PBE-GGA.

D(E_F): 20.00 states/eV per cell
E_form: 0.039 eV per atom
magnetic moment: 0.000 μB/atom

```
LaSm5Dy8
1.0
8.696 -1.778 0.000
8.696 1.778 0.000
-7.939 0.000 14.852
La Sm Dy
1 5 8
Direct
0.000 0.000 0.000
0.146 0.146 0.442
0.215 0.215 0.145
0.500 0.500 0.500
0.785 0.785 0.855
0.854 0.854 0.558
0.081 0.081 0.723
0.284 0.284 0.355
0.353 0.353 0.060
0.419 0.419 0.775
0.581 0.581 0.225
0.647 0.647 0.940
0.716 0.716 0.645
0.919 0.919 0.277
```

Entry 6:
Here is crystalline PmCuAs2Rh5 at its relaxed geometry from Alexandria via LeMat-Bulk. Energies are from PBE-GGA.

D(E_F): 7.65 states/eV per cell
E_form: -0.269 eV per atom
magnetic moment: 0.000 μB/atom

```
PmCuAs2Rh5
1.0
4.071 0.000 0.000
0.000 4.071 0.000
0.000 0.000 10.232
Pm Cu As Rh
1 1 2 5
Direct
0.000 0.000 0.000
0.000 0.000 0.500
0.500 0.500 0.232
0.500 0.500 0.768
0.000 0.500 0.354
0.000 0.500 0.646
0.500 0.000 0.354
0.500 0.000 0.646
0.500 0.500 0.000
```

Entry 7:
Here is crystalline Pr12Rh3N5 at its relaxed geometry from Alexandria via LeMat-Bulk. Energies are from PBE-GGA.

formation energy without anion corrections: -736 meV/atom
D(E_F): 63.09 states/eV per cell
magnetic moment: 0.000 μB/atom

```
Pr12Rh3N5
1.0
-7.946 7.946 7.946
7.946 -7.946 7.946
7.946 7.946 -7.946
Pr Rh N
48 12 20
Direct
0.024 0.205 0.119
0.024 0.319 0.905
0.086 0.705 0.681
0.086 0.881 0.405
0.095 0.619 0.414
0.095 0.976 0.681
0.119 0.024 0.205
0.119 0.595 0.914
0.181 0.205 0.586
0.181 0.476 0.595
0.205 0.119 0.024
0.205 0.586 0.181
0.295 0.319 0.914
0.295 0.476 0.381
0.319 0.905 0.024
0.319 0.914 0.295
0.381 0.295 0.476
0.381 0.586 0.905
0.405 0.086 0.881
0.405 0.819 0.524
0.414 0.095 0.619
0.414 0.819 0.795
0.476 0.381 0.295
0.476 0.595 0.181
0.524 0.405 0.819
0.524 0.619 0.705
0.586 0.181 0.205
0.586 0.905 0.381
0.595 0.181 0.476
0.595 0.914 0.119
0.619 0.414 0.095
0.619 0.705 0.524
0.681 0.086 0.705
0.681 0.095 0.976
0.705 0.524 0.619
0.705 0.681 0.086
0.795 0.414 0.819
0.795 0.881 0.976
0.819 0.524 0.405
0.819 0.795 0.414
0.881 0.405 0.086
0.881 0.976 0.795
0.905 0.024 0.319
0.905 0.381 0.586
0.914 0.119 0.595
0.914 0.295 0.319
0.976 0.681 0.095
0.976 0.795 0.881
0.125 0.250 0.375
0.125 0.375 0.750
0.250 0.375 0.125
0.250 0.875 0.625
0.375 0.125 0.250
0.375 0.750 0.125
0.625 0.250 0.875
0.625 0.875 0.750
0.750 0.125 0.375
0.750 0.625 0.875
0.875 0.625 0.250
0.875 0.750 0.625
0.000 0.000 0.000
0.000 0.000 0.500
0.000 0.500 0.000
0.000 0.500 0.500
0.125 0.750 0.875
0.125 0.875 0.250
0.250 0.125 0.875
0.250 0.625 0.375
0.375 0.250 0.625
0.375 0.625 0.750
0.500 0.000 0.000
0.500 0.000 0.500
0.500 0.500 0.000
0.500 0.500 0.500
0.625 0.375 0.250
0.625 0.750 0.375
0.750 0.375 0.625
0.750 0.875 0.125
0.875 0.125 0.750
0.875 0.250 0.125
```

Entry 8:
Here is crystalline Hf2Zn3Tc at its relaxed geometry from Alexandria via LeMat-Bulk. Energies are from PBE-GGA.

D(E_F): 11.02 states/eV per cell
E_form: -0.254 eV per atom
magnetic moment: 0.000 μB/atom

```
Hf2Zn3Tc
1.0
8.856 0.000 0.000
0.000 5.086 0.000
-2.950 0.000 4.404
Hf Zn Tc
4 6 2
Direct
0.126 0.000 0.378
0.374 0.500 0.622
0.626 0.500 0.378
0.874 0.000 0.622
0.000 0.500 0.000
0.250 0.250 0.000
0.250 0.750 0.000
0.500 0.000 0.000
0.750 0.250 0.000
0.750 0.750 0.000
0.000 0.500 0.500
0.500 0.000 0.500
```

Among the records above, which one has the highest magnetic moment?
Na2EuGa

What did the fifth record say?
Here is crystalline LaSm5Dy8 at its relaxed geometry from Alexandria via LeMat-Bulk. Energies are from PBE-GGA.

D(E_F): 20.00 states/eV per cell
E_form: 0.039 eV per atom
magnetic moment: 0.000 μB/atom

```
LaSm5Dy8
1.0
8.696 -1.778 0.000
8.696 1.778 0.000
-7.939 0.000 14.852
La Sm Dy
1 5 8
Direct
0.000 0.000 0.000
0.146 0.146 0.442
0.215 0.215 0.145
0.500 0.500 0.500
0.785 0.785 0.855
0.854 0.854 0.558
0.081 0.081 0.723
0.284 0.284 0.355
0.353 0.353 0.060
0.419 0.419 0.775
0.581 0.581 0.225
0.647 0.647 0.940
0.716 0.716 0.645
0.919 0.919 0.277
```